Record 1
Crystalline TlAs2Br at its relaxed geometry, computed with GGA-PBE.

a = 3.6791 Å, b = 6.6367 Å, c = 5.1940 Å
α = 90.00°, β = 90.01°, γ = 90.00°
Last column: nearest neighbours and their distance in Å.
Fractional positions:
Tl: 0.0000 0.0000 0.0000  4 Br 3.18, 4 As 3.54
As: 0.2557 0.5000 0.1532  2 As 2.40-2.46
As: 0.7443 0.5000 0.8468  2 As 2.40-2.46
Br: 0.5000 0.0000 0.5000  4 Tl 3.18



Record 2
Crystalline TlAs2Br at its relaxed geometry, computed with GGA-PBE.

a = 3.5862 Å, b = 3.5862 Å, c = 8.2805 Å
α = 90.00°, β = 90.00°, γ = 110.77°
Last column: nearest neighbours and their distance in Å.
Fractional positions:
Tl: 0.0000 0.0000 0.0000  4 As 2.82
As: 0.5000 0.5000 0.2359  2 Tl 2.82, 2 Br 2.99
As: 0.5000 0.5000 0.7641  2 Tl 2.82, 2 Br 2.99
Br: 0.0000 0.0000 0.5000  4 As 2.99



Record 3
Crystalline TlAsBr3 at its relaxed geometry, computed with GGA-PBE.

a = 6.2662 Å, b = 6.2836 Å, c = 10.7379 Å
α = 88.02°, β = 87.60°, γ = 89.04°
Last column: nearest neighbours and their distance in Å.
Fractional positions:
Tl: 0.2460 0.2530 0.0019  6 Br 3.23-3.58
Tl: 0.7540 0.7470 0.9981  6 Br 3.23-3.58
As: 0.4355 0.9363 0.3980  2 Br 2.39, 1 As 2.53
As: 0.5645 0.0637 0.6020  2 Br 2.39, 1 As 2.53
Br: 0.2076 0.1242 0.6815  1 As 2.39
Br: 0.2606 0.7599 0.0972  4 Tl 3.23-3.39
Br: 0.3745 0.2933 0.3215  1 As 2.39
Br: 0.6255 0.7067 0.6785  1 As 2.39
Br: 0.7394 0.2401 0.9028  4 Tl 3.23-3.39
Br: 0.7924 0.8758 0.3185  1 As 2.39



no.,formation energy (no corrections) (eV per atom),E above lowest polymorph (eV/atom)
1,-0.122,0.146
2,0.428,0.695
3,-0.545,0.000